Record 1
TcNiPt2 (PBE, optimized geometry); uncorrected energy = -7.14 eV/atom; energy of formation = -0.082 eV/atom; E above lowest polymorph = 70 meV/atom; symmetry = No. 62
1.0
8.955 0.000 0.000
0.000 2.734 0.000
0.000 0.000 9.335
Tc Ni Pt
4 4 8
Direct
0.108 0.250 0.061 Tc
0.392 0.750 0.561 Tc
0.608 0.250 0.439 Tc
0.892 0.750 0.939 Tc
0.091 0.750 0.289 Ni
0.409 0.250 0.789 Ni
0.591 0.750 0.211 Ni
0.909 0.250 0.711 Ni
0.135 0.250 0.531 Pt
0.154 0.750 0.802 Pt
0.346 0.250 0.302 Pt
0.365 0.750 0.031 Pt
0.635 0.250 0.969 Pt
0.654 0.750 0.698 Pt
0.846 0.250 0.198 Pt
0.865 0.750 0.469 Pt

---

Record 2
TcNi4Pt7 (PBE, optimized geometry); uncorrected energy = -5.99 eV/atom; energy of formation = 0.327 eV/atom; symmetry = No. 12
1.0
5.276 -2.330 0.000
5.276 2.330 0.000
-4.687 0.000 7.609
Tc Ni Pt
1 4 7
Direct
0.000 0.000 0.000 Tc
0.279 0.279 0.676 Ni
0.431 0.431 0.229 Ni
0.569 0.569 0.771 Ni
0.721 0.721 0.324 Ni
0.070 0.070 0.347 Pt
0.210 0.210 0.914 Pt
0.357 0.357 0.448 Pt
0.500 0.500 0.000 Pt
0.643 0.643 0.552 Pt
0.790 0.790 0.086 Pt
0.930 0.930 0.653 Pt

---

- Which of these has the highest energy of formation?
  TcNi4Pt7

---

Copy entry 1 word for word.
TcNiPt2 (PBE, optimized geometry); uncorrected energy = -7.14 eV/atom; energy of formation = -0.082 eV/atom; E above lowest polymorph = 70 meV/atom; symmetry = No. 62
1.0
8.955 0.000 0.000
0.000 2.734 0.000
0.000 0.000 9.335
Tc Ni Pt
4 4 8
Direct
0.108 0.250 0.061 Tc
0.392 0.750 0.561 Tc
0.608 0.250 0.439 Tc
0.892 0.750 0.939 Tc
0.091 0.750 0.289 Ni
0.409 0.250 0.789 Ni
0.591 0.750 0.211 Ni
0.909 0.250 0.711 Ni
0.135 0.250 0.531 Pt
0.154 0.750 0.802 Pt
0.346 0.250 0.302 Pt
0.365 0.750 0.031 Pt
0.635 0.250 0.969 Pt
0.654 0.750 0.698 Pt
0.846 0.250 0.198 Pt
0.865 0.750 0.469 Pt